1.
Entry from OQMD via LeMat-Bulk: a geometry-optimized Y2Tc structure (PBE).

Cell: 5.860 5.860 5.860 Å, 60.00 60.00 60.00°
Sites, in units of the cell vectors:
Y 0.000 0.000 0.000
Y 0.000 0.000 0.500
Y 0.000 0.500 0.000
Y 0.500 0.000 0.000
Tc 0.375 0.375 0.375
Tc 0.625 0.625 0.625

Results
energy of formation: 1.147 eV per atom



2.
Entry from OQMD via LeMat-Bulk: a geometry-optimized Li2Mg2PdPtPb2 structure (PBE).

Cell: 4.706 4.706 6.624 Å, 90.00 90.00 90.00°
Sites, in units of the cell vectors:
Li 0.000 0.000 0.000
Li 0.500 0.500 0.500
Mg 0.000 0.500 0.245
Mg 0.500 0.000 0.755
Pd 0.000 0.000 0.500
Pt 0.500 0.500 0.000
Pb 0.000 0.500 0.747
Pb 0.500 0.000 0.253



3.
Entry from OQMD via LeMat-Bulk: a geometry-optimized Li4Hf2O5 structure (PBE).

Cell: 6.763 6.763 4.180 Å, 90.00 90.00 143.17°
Sites, in units of the cell vectors:
Li 0.000 0.000 0.000
Li 0.167 0.833 0.500
Li 0.500 0.500 0.500
Li 0.833 0.167 0.500
Hf 0.337 0.663 0.000
Hf 0.663 0.337 0.000
O 0.163 0.837 0.000
O 0.334 0.666 0.500
O 0.500 0.500 0.000
O 0.666 0.334 0.500
O 0.837 0.163 0.000



4.
Entry from OQMD via LeMat-Bulk: a geometry-optimized LiLuFeW structure (PBE).

Cell: 6.257 6.257 6.257 Å, 90.00 90.00 90.00°
Sites, in units of the cell vectors:
Li 0.000 0.000 0.000
Li 0.000 0.500 0.500
Li 0.500 0.000 0.500
Li 0.500 0.500 0.000
Lu 0.250 0.250 0.250
Lu 0.250 0.750 0.750
Lu 0.750 0.250 0.750
Lu 0.750 0.750 0.250
Fe 0.000 0.000 0.500
Fe 0.000 0.500 0.000
Fe 0.500 0.000 0.000
Fe 0.500 0.500 0.500
W 0.250 0.250 0.750
W 0.250 0.750 0.250
W 0.750 0.250 0.250
W 0.750 0.750 0.750



For reference, calculated volume by record: 23.7; 18.3; 10.4; 15.3 A^3/atom.
For reference, total energy by record: -6.617; -3.656; -7.178; -6.603 eV/atom.